Compound: Ho3ScS4
Source: Alexandria
Functional: PBE
Structure: relaxed

As for the total moment: 0.00 μB/f.u. For the raw formation energy, the calculation gives -185.4 kJ/mol of atoms. Its mass density is 6.89 g/cm3. Its total energy is -51.944 eV per cell. Its energy above the most stable polymorph in this dataset is 15 meV per atom.

The structure in POSCAR format:
```
Ho3ScS4
1.0
-1.8790 -2.7835 4.2795
4.0023 -3.6341 -0.6064
3.1691 2.9391 3.3032
S Sc Ho
4 1 3
direct
0.5000 0.0000 0.0000 S
0.0000 0.0000 0.5000 S
0.0000 0.5000 0.0000 S
0.5000 0.5000 0.5000 S
0.0000 0.0000 0.0000 Sc
0.0000 0.5000 0.5000 Ho
0.5000 0.5000 0.0000 Ho
0.5000 0.0000 0.5000 Ho
```



Compound: HoSc2GaC
Source: Alexandria
Functional: PBE
Structure: relaxed

As for the total moment: 0.00 μB/f.u. Its mass density is 5.72 g/cm3. Its total energy is -32.446 eV per cell.

The structure in POSCAR format:
```
HoSc2GaC
1.0
-0.0143 -4.5790 -1.4324
2.9388 -1.0312 3.2672
-3.4260 -0.8676 2.8078
Ho C Sc Ga
1 1 2 1
direct
0.5000 0.0000 0.0000 Ho
0.0000 0.0000 0.0000 C
0.0000 0.5000 0.0000 Sc
0.0000 0.0000 0.5000 Sc
0.5000 0.5000 0.5000 Ga
```



Compound: LiNdTm
Source: Alexandria
Functional: PBE
Structure: relaxed

As for the total moment: 0.00 μB/f.u. Its mass density is 5.98 g/cm3. Its total energy is -10.820 eV per cell. Its energy above the most stable polymorph in this dataset is 26 meV per atom.

The structure in POSCAR format:
```
LiNdTm
1.0
3.5028 0.0000 0.0000
-1.7514 3.0335 0.0000
0.0000 0.0000 8.3684
Tm Li Nd
1 1 1
direct
0.6667 0.3333 0.3268 Tm
0.0000 0.0000 0.0055 Li
0.3333 0.6667 0.6677 Nd
```



Compound: AcAs2AuO8
Source: Alexandria
Functional: PBE
Structure: relaxed

As for the total moment: 2.05 μB/f.u. For the raw formation energy, the calculation gives -121.9 kJ/mol of atoms. Its mass density is 6.17 g/cm3. Its total energy is -71.512 eV per cell.

The structure in POSCAR format:
```
AcAs2AuO8
1.0
-5.6114 -2.0929 -1.8863
4.9767 -3.0207 -2.3525
0.2013 -0.8286 6.2209
O As Au Ac
8 2 1 1
direct
0.4080 0.0802 0.3278 O
0.9198 0.5920 0.6722 O
0.3323 0.1562 0.8240 O
0.4917 0.6677 0.8240 O
0.3323 0.5083 0.1760 O
0.7524 0.0802 0.6722 O
0.9198 0.2476 0.3278 O
0.8438 0.6677 0.1760 O
0.7500 0.2500 0.5000 As
0.5000 0.5000 0.0000 As
0.2500 0.7500 0.5000 Au
0.0000 0.0000 0.0000 Ac
```



- Which of these has the highest mass density?
  Ho3ScS4



- total energy of number 2 (HoSc2GaC)?
  -32.446 eV per cell



- total moment of number 2 (HoSc2GaC)?
  0.00 μB/f.u.